Record 1
A relaxed structure of Tb2Cu12Ni3Sn. Source: Alexandria, functional PBE.

Cell: 8.5734 8.5734 12.3747 Å, 90.00 90.00 120.00°
Closest atoms and distances in Å follow each position.
Space group R-3m (No. 166, hexagonal axes)
Unique sites:
Tb 0.0000 0.0000 0.2420 [6 per cell]  3 Ni 2.72, 6 Cu 2.83-2.87
Cu 0.0026 0.5013 0.2059 [18 per cell]  5 Cu 2.42-2.64, 1 Sn 2.50, 1 Ni 2.55
Cu 0.0460 0.5230 0.6010 [18 per cell]  6 Cu 2.42-2.68
Ni 0.0000 0.5000 0.0000 [9 per cell]  6 Cu 2.55-2.78, 2 Tb 2.72
Sn 0.0000 0.0000 0.5000 [3 per cell]  6 Cu 2.50

**ΔH_f (0 K)**: 43 meV per atom
**Total moment**: 0.0 Bohr magnetons per cell

---

Record 2
A relaxed structure of HfBe4V. Source: Alexandria, functional PBE.

Cell: 6.4872 6.4872 6.4872 Å, 90.00 90.00 90.00°
Closest atoms and distances in Å follow each position.
Space group F-43m (No. 216)
Unique sites:
Hf 0.0000 0.0000 0.0000 [4 per cell]  12 Be 2.69, 4 V 2.81
Be 0.1237 0.1237 0.3763 [16 per cell]  6 Be 2.27-2.32
V 0.2500 0.2500 0.7500 [4 per cell]  12 Be 2.69, 4 Hf 2.81

**ΔH_f (0 K)**: -153 meV per atom
**Total moment**: 9.4 Bohr magnetons per cell

---

Record 3
A relaxed structure of ZnPtPb. Source: Alexandria, functional PBE.

Cell: 4.4059 4.4059 3.7158 Å, 90.00 90.00 120.00°
Closest atoms and distances in Å follow each position.
Space group P-6m2 (No. 187)
Unique sites:
Zn 0.0000 0.0000 0.0000 [1 per cell]  3 Pt 2.54
Pt 0.6667 0.3333 0.0000 [1 per cell]  3 Zn 2.54
Pb 0.3333 0.6667 0.5000 [1 per cell]  6 Zn 3.15, 6 Pt 3.15

**ΔH_f (0 K)**: -113 meV per atom
**Total moment**: 0.0 Bohr magnetons per cell

---

Record 4
A relaxed structure of CaPm3Se4. Source: Alexandria, functional PBE.

Cell: 5.9332 5.9332 5.9332 Å, 90.00 90.00 90.00°
Closest atoms and distances in Å follow each position.
Space group Pm-3m (No. 221)
Unique sites:
Ca 0.0000 0.0000 0.0000 [1 per cell]  6 Se 2.97
Pm 0.0000 0.5000 0.5000 [3 per cell]  6 Se 2.97
Se 0.0000 0.0000 0.5000 [3 per cell]  2 Ca 2.97, 4 Pm 2.97
Se 0.5000 0.5000 0.5000 [1 per cell]  6 Pm 2.97

**Total moment**: 0.0 Bohr magnetons per cell
**E_form (uncorrected)**: -1.866 eV per atom